Arrangement i

NiPt3Rh2 | PBE | relaxed

Properties
The value obtained for the density of states at the Fermi level is 21.698 states/eV/cell. The crystal system is monoclinic.

Cell: 2.7114 7.8275 9.0791 Å, 109.67 98.59 90.00°
Closest atoms and distances in Å follow each position.
Fractional coordinates of all 12 atoms:
Ni1 0.3191 0.9591 0.6383  3 Rh 2.52-2.71, 5 Pt 2.53-2.64, 2 Ni 2.71
Pt1 0.3007 0.2660 0.6015  3 Ni 2.53-2.64, 3 Rh 2.69-2.81, 5 Pt 2.71-2.82
Pt2 0.4384 0.5600 0.8767  3 Rh 2.61-2.79, 6 Pt 2.68-2.81
Rh1 0.6943 0.3716 0.3887  1 Ni 2.52, 4 Pt 2.61-2.81, 6 Rh 2.67-2.72
Pt3 0.0719 0.7890 0.1437  2 Ni 2.63, 6 Pt 2.71-2.82, 2 Rh 2.72-2.81
Rh2 0.9297 0.8648 0.8593  5 Rh 2.69-2.72, 2 Ni 2.71, 4 Pt 2.72-2.81
Rh3 0.0703 0.1352 0.1407  5 Rh 2.69-2.72, 2 Ni 2.71, 4 Pt 2.72-2.81
Pt4 0.9281 0.2110 0.8563  2 Ni 2.63, 6 Pt 2.71-2.82, 2 Rh 2.72-2.81
Pt5 0.5616 0.4400 0.1233  3 Rh 2.61-2.79, 6 Pt 2.68-2.81
Ni2 0.6809 0.0409 0.3617  3 Rh 2.52-2.71, 5 Pt 2.53-2.64, 2 Ni 2.71
Rh4 0.3057 0.6284 0.6113  1 Ni 2.52, 4 Pt 2.61-2.81, 6 Rh 2.67-2.72
Pt6 0.6993 0.7340 0.3985  3 Ni 2.53-2.64, 3 Rh 2.69-2.81, 5 Pt 2.71-2.82

***

Arrangement ii

NiPt3Rh2 | PBE | relaxed

Properties
The value obtained for the density of states at the Fermi level is 21.656 states/eV/cell. The crystal system is orthorhombic.

Cell: 5.0070 5.3730 7.2110 Å, 111.87 90.00 90.00°
Closest atoms and distances in Å follow each position.
Fractional coordinates of all 12 atoms:
Pt1 0.2500 0.1469 0.2938  2 Ni 2.69, 6 Pt 2.70-2.87, 4 Rh 2.71
Pt2 0.7500 0.8531 0.7062  2 Ni 2.69, 6 Pt 2.70-2.87, 4 Rh 2.71
Ni1 0.2500 0.6490 0.2980  8 Pt 2.68-2.87, 4 Rh 2.69
Pt3 0.7500 0.9276 0.3562  3 Ni 2.68-2.87, 5 Pt 2.68-2.87, 2 Rh 2.69
Pt4 0.2500 0.0724 0.6438  3 Ni 2.68-2.87, 5 Pt 2.68-2.87, 2 Rh 2.69
Pt5 0.2500 0.5714 0.6438  3 Ni 2.68-2.87, 5 Pt 2.68-2.87, 2 Rh 2.69
Pt6 0.7500 0.4286 0.3562  3 Ni 2.68-2.87, 5 Pt 2.68-2.87, 2 Rh 2.69
Rh1 0.0000 0.7413 0.0000  4 Rh 2.50-2.78, 2 Ni 2.69, 4 Pt 2.69-2.71
Ni2 0.7500 0.3510 0.7020  8 Pt 2.68-2.87, 4 Rh 2.69
Rh2 0.0000 0.2587 0.0000  4 Rh 2.50-2.78, 2 Ni 2.69, 4 Pt 2.69-2.71
Rh3 0.5000 0.2587 0.0000  4 Rh 2.50-2.78, 2 Ni 2.69, 4 Pt 2.69-2.71
Rh4 0.5000 0.7413 0.0000  4 Rh 2.50-2.78, 2 Ni 2.69, 4 Pt 2.69-2.71

***

The most stable of them is arrangement i.

***

Arrangement i

NiPt2Rh3 | PBE | relaxed

Properties
The value obtained for the density of states at the Fermi level is 19.872 states/eV/cell. The crystal system is monoclinic.

Cell: 2.7088 6.5846 11.5527 Å, 64.76 83.27 78.13°
Closest atoms and distances in Å follow each position.
Fractional coordinates of all 12 atoms:
Rh1 0.3128 0.3060 0.0685  7 Rh 2.62-2.71, 3 Pt 2.64-2.89
Rh2 0.1051 0.0360 0.7538  3 Pt 2.58-2.74, 2 Ni 2.63, 6 Rh 2.67-2.71
Rh3 0.2117 0.2723 0.3044  2 Ni 2.61, 5 Rh 2.62-2.71, 4 Pt 2.67-2.74
Rh4 0.8949 0.9640 0.2462  3 Pt 2.58-2.74, 2 Ni 2.63, 6 Rh 2.67-2.71
Rh5 0.7883 0.7277 0.6956  2 Ni 2.61, 5 Rh 2.62-2.71, 4 Pt 2.67-2.74
Ni1 0.4637 0.4199 0.6527  4 Pt 2.54-2.68, 4 Rh 2.61-2.63, 2 Ni 2.71
Ni2 0.5363 0.5801 0.3473  4 Pt 2.54-2.68, 4 Rh 2.61-2.63, 2 Ni 2.71
Pt1 0.6487 0.1767 0.5260  2 Ni 2.54-2.56, 2 Pt 2.71, 5 Rh 2.72-2.74
Pt2 0.0862 0.7005 0.1270  5 Rh 2.58-2.89, 2 Ni 2.68, 2 Pt 2.71
Pt3 0.9138 0.2995 0.8730  5 Rh 2.58-2.89, 2 Ni 2.68, 2 Pt 2.71
Rh6 0.6872 0.6940 0.9315  7 Rh 2.62-2.71, 3 Pt 2.64-2.89
Pt4 0.3513 0.8233 0.4740  2 Ni 2.54-2.56, 2 Pt 2.71, 5 Rh 2.72-2.74

***

Arrangement ii

NiPt2Rh3 | PBE | relaxed

Properties
The value obtained for the density of states at the Fermi level is 17.204 states/eV/cell. The crystal system is orthorhombic.

Cell: 3.8588 8.6447 5.3598 Å, 90.00 90.00 90.00°
Closest atoms and distances in Å follow each position.
Fractional coordinates of all 12 atoms:
Rh1 0.5000 0.8437 0.7451  5 Pt 2.57-2.76, 2 Ni 2.70, 2 Rh 2.72
Rh2 0.0000 0.3437 0.7549  5 Pt 2.57-2.76, 2 Ni 2.70, 2 Rh 2.72
Ni1 0.0000 0.0000 0.5000  4 Pt 2.65, 6 Rh 2.68-2.70
Rh3 0.0000 0.0000 0.0000  2 Ni 2.68, 4 Pt 2.70, 4 Rh 2.72
Ni2 0.5000 0.5000 0.0000  4 Pt 2.65, 6 Rh 2.68-2.70
Pt1 0.0000 0.6481 0.7595  7 Rh 2.57-2.76, 2 Ni 2.65
Rh4 0.5000 0.1563 0.2549  5 Pt 2.57-2.76, 2 Ni 2.70, 2 Rh 2.72
Pt2 0.0000 0.3519 0.2405  7 Rh 2.57-2.76, 2 Ni 2.65
Pt3 0.5000 0.1481 0.7405  7 Rh 2.57-2.76, 2 Ni 2.65
Rh5 0.5000 0.5000 0.5000  2 Ni 2.68, 4 Pt 2.70, 4 Rh 2.72
Rh6 0.0000 0.6563 0.2451  5 Pt 2.57-2.76, 2 Ni 2.70, 2 Rh 2.72
Pt4 0.5000 0.8519 0.2595  7 Rh 2.57-2.76, 2 Ni 2.65

***

The most stable of them is arrangement ii.

***

Arrangement i

Ni8Pt6Rh | PBE | relaxed

Properties
The value obtained for the density of states at the Fermi level is 24.456 states/eV/cell. The crystal system is trigonal.

Cell: 6.6093 6.6093 6.6093 Å, 59.96 59.96 59.96°
Closest atoms and distances in Å follow each position.
Fractional coordinates of all 15 atoms:
Pt1 0.0520 0.5306 0.2689  5 Ni 2.49-2.75, 3 Pt 2.63-2.74, 1 Rh 2.63
Ni1 0.5770 0.5770 0.5770  4 Ni 2.48-2.49, 6 Pt 2.71-2.75
Pt2 0.4694 0.7311 0.9480  5 Ni 2.49-2.75, 3 Pt 2.63-2.74, 1 Rh 2.63
Ni2 0.1941 0.8742 0.3296  5 Ni 2.48-2.68, 3 Pt 2.49-2.58, 1 Rh 2.65
Pt3 0.7311 0.9480 0.4694  5 Ni 2.49-2.75, 3 Pt 2.63-2.74, 1 Rh 2.63
Pt4 0.9480 0.4694 0.7311  5 Ni 2.49-2.75, 3 Pt 2.63-2.74, 1 Rh 2.63
Rh1 0.0000 0.0000 0.0000  6 Pt 2.63, 6 Ni 2.65
Pt5 0.2689 0.0520 0.5306  5 Ni 2.49-2.75, 3 Pt 2.63-2.74, 1 Rh 2.63
Ni3 0.4230 0.4230 0.4230  4 Ni 2.48-2.49, 6 Pt 2.71-2.75
Ni4 0.6704 0.8059 0.1258  5 Ni 2.48-2.68, 3 Pt 2.49-2.58, 1 Rh 2.65
Ni5 0.1258 0.6704 0.8059  5 Ni 2.48-2.68, 3 Pt 2.49-2.58, 1 Rh 2.65
Ni6 0.8059 0.1258 0.6704  5 Ni 2.48-2.68, 3 Pt 2.49-2.58, 1 Rh 2.65
Ni7 0.3296 0.1941 0.8742  5 Ni 2.48-2.68, 3 Pt 2.49-2.58, 1 Rh 2.65
Pt6 0.5306 0.2689 0.0520  5 Ni 2.49-2.75, 3 Pt 2.63-2.74, 1 Rh 2.63
Ni8 0.8742 0.3296 0.1941  5 Ni 2.48-2.68, 3 Pt 2.49-2.58, 1 Rh 2.65

***

Arrangement ii

Ni8Pt6Rh | PBE | relaxed

Properties
The value obtained for the density of states at the Fermi level is 24.173 states/eV/cell. The crystal system is trigonal.

Cell: 7.2007 7.2007 6.1691 Å, 54.29 54.29 60.00°
Closest atoms and distances in Å follow each position.
Fractional coordinates of all 15 atoms:
Pt1 0.8287 0.3752 0.2251  7 Ni 2.53-2.83, 3 Pt 2.76-2.84
Pt2 0.3752 0.5711 0.2251  7 Ni 2.53-2.83, 3 Pt 2.76-2.84
Ni1 0.0449 0.3936 0.7008  2 Ni 2.31-2.42, 1 Rh 2.38, 3 Pt 2.53-2.59
Ni2 0.2399 0.2399 0.2804  3 Ni 2.42
Pt3 0.5711 0.8287 0.2251  7 Ni 2.53-2.83, 3 Pt 2.76-2.84
Ni3 0.8606 0.0449 0.7008  2 Ni 2.31-2.42, 1 Rh 2.38, 3 Pt 2.53-2.59
Ni4 0.9551 0.6064 0.2992  2 Ni 2.31-2.42, 1 Rh 2.38, 3 Pt 2.53-2.59
Pt4 0.4289 0.1713 0.7749  7 Ni 2.53-2.83, 3 Pt 2.76-2.84
Ni5 0.1394 0.9551 0.2992  2 Ni 2.31-2.42, 1 Rh 2.38, 3 Pt 2.53-2.59
Pt5 0.1713 0.6248 0.7749  7 Ni 2.53-2.83, 3 Pt 2.76-2.84
Ni6 0.7601 0.7601 0.7196  3 Ni 2.42
Ni7 0.3936 0.8606 0.7008  2 Ni 2.31-2.42, 1 Rh 2.38, 3 Pt 2.53-2.59
Ni8 0.6064 0.1394 0.2992  2 Ni 2.31-2.42, 1 Rh 2.38, 3 Pt 2.53-2.59
Rh1 0.0000 0.0000 0.0000  6 Ni 2.38
Pt6 0.6248 0.4289 0.7749  7 Ni 2.53-2.83, 3 Pt 2.76-2.84

***

The most stable of them is arrangement i.

***

Arrangement i

NiPt7Rh4 | PBE | relaxed

Properties
The value obtained for the density of states at the Fermi level is 21.825 states/eV/cell. The crystal system is trigonal.

Cell: 2.7717 2.7717 26.8703 Å, 90.00 90.00 120.00°
Closest atoms and distances in Å follow each position.
Fractional coordinates of all 12 atoms:
Pt1 0.3333 0.6667 0.4227  3 Ni 2.62, 6 Pt 2.77, 3 Rh 2.77
Rh1 0.6667 0.3333 0.0836  6 Pt 2.76, 6 Rh 2.77
Pt2 0.6667 0.3333 0.5773  3 Ni 2.62, 6 Pt 2.77, 3 Rh 2.77
Pt3 0.0000 0.0000 0.2548  3 Rh 2.76, 9 Pt 2.77-2.84
Rh2 0.3333 0.6667 0.9164  6 Pt 2.76, 6 Rh 2.77
Pt4 0.3333 0.6667 0.1673  3 Rh 2.76, 9 Pt 2.77-2.84
Rh3 0.3333 0.6667 0.6616  6 Pt 2.76-2.77, 6 Rh 2.77
Pt5 0.0000 0.0000 0.7452  3 Rh 2.76, 9 Pt 2.77-2.84
Rh4 0.6667 0.3333 0.3384  6 Pt 2.76-2.77, 6 Rh 2.77
Pt6 0.0000 0.0000 0.0000  6 Rh 2.76, 6 Pt 2.77
Pt7 0.6667 0.3333 0.8327  3 Rh 2.76, 9 Pt 2.77-2.84
Ni1 0.0000 0.0000 0.5000  6 Pt 2.62, 6 Ni 2.77

***

Arrangement ii

NiPt7Rh4 | PBE | relaxed

Properties
The value obtained for the density of states at the Fermi level is 18.963 states/eV/cell. The crystal system is monoclinic.

Cell: 4.7244 8.7383 5.4486 Å, 84.07 64.31 74.32°
Closest atoms and distances in Å follow each position.
Fractional coordinates of all 12 atoms:
Rh1 0.4199 0.7710 0.3892  8 Pt 2.66-2.74, 1 Rh 2.67
Pt1 0.6560 0.4567 0.2312  5 Rh 2.69-2.74, 4 Pt 2.70-2.74
Pt2 0.3440 0.5433 0.7688  5 Rh 2.69-2.74, 4 Pt 2.70-2.74
Pt3 0.5000 0.0000 0.0000  2 Ni 2.36, 2 Pt 2.64
Pt4 0.1994 0.0791 0.5221  1 Ni 2.45, 4 Pt 2.64-2.72, 4 Rh 2.66-2.71
Pt5 0.0381 0.6176 0.3063  5 Pt 2.67-2.77, 4 Rh 2.72-2.78
Ni1 0.0000 0.0000 0.0000  4 Pt 2.36-2.45
Rh2 0.2762 0.3065 0.1411  7 Pt 2.66-2.78, 1 Rh 2.67
Pt6 0.8006 0.9209 0.4779  1 Ni 2.45, 4 Pt 2.64-2.72, 4 Rh 2.66-2.71
Pt7 0.9619 0.3824 0.6937  5 Pt 2.67-2.77, 4 Rh 2.72-2.78
Rh3 0.5801 0.2290 0.6108  8 Pt 2.66-2.74, 1 Rh 2.67
Rh4 0.7238 0.6935 0.8589  7 Pt 2.66-2.78, 1 Rh 2.67

***

The most stable of them is arrangement i.